Record 1
Computed, not measured: crystalline ScTc2I at its relaxed geometry at the GGA-PBE level of DFT.

Properties
Its total energy is -6.757 eV/atom. As for the energy relative to the lowest polymorph listed for this composition: 0 meV/atom. The uncorrected formation energy comes out at 0.396 eV/atom. As for the space group: No. 225.

Cell lengths 4.5744, 4.5744, 4.5744 Å; angles 60.00, 60.00, 60.00 degrees
Element x y z (fractional)
I  0.5000  0.5000  0.5000
Tc  0.7500  0.7500  0.7500
Sc  0.0000  0.0000  0.0000
Tc  0.2500  0.2500  0.2500

Record 2
Computed, not measured: crystalline Sc2Tc2I at its relaxed geometry at the GGA-PBE level of DFT.

Properties
Its total energy is -6.516 eV/atom. As for the energy relative to the lowest polymorph listed for this composition: 365 meV/atom. The uncorrected formation energy comes out at 0.473 eV/atom. As for the space group: No. 139.

Cell lengths 5.2489, 5.2489, 5.4498 Å; angles 61.21, 61.21, 90.00 degrees
Element x y z (fractional)
Sc  0.7500  0.2500  0.5000
Tc  0.6462  0.6462  0.7076
I  0.0000  0.0000  0.0000
Sc  0.2500  0.7500  0.5000
Tc  0.3538  0.3538  0.2924

Record 3
Computed, not measured: crystalline Sc2TcI at its relaxed geometry at the GGA-PBE level of DFT.

Properties
Its total energy is -6.205 eV/atom. As for the energy relative to the lowest polymorph listed for this composition: 0 meV/atom. The uncorrected formation energy comes out at -0.060 eV/atom. As for the space group: No. 166.

Cell lengths 9.4149, 9.4149, 9.4149 Å; angles 21.95, 21.95, 21.95 degrees
Element x y z (fractional)
Sc  0.8965  0.8965  0.8965
Tc  0.5000  0.5000  0.5000
I  0.0000  0.0000  0.0000
Sc  0.1035  0.1035  0.1035